NdCd2Au6 after structural relaxation. Source: the Alexandria database, functional GGA-PBE.

Results
- electronic total energy (eV/atom) = -3.227
- energy of formation from the pure elements (kJ per mole of atoms) = -29.8

a = 3.597 Å, b = 8.211 Å, c = 8.211 Å
α = 56.68°, β = 77.35°, γ = 77.35°
Atoms (fractional coordinates):
Nd 0.500 0.500 0.500
Cd 0.358 0.142 0.142
Cd 0.642 0.858 0.858
Au 0.179 0.501 0.142
Au 0.821 0.499 0.858
Au 0.821 0.858 0.499
Au 0.000 0.178 0.822
Au 0.000 0.822 0.178
Au 0.179 0.142 0.501